[1]
## NpPaPd2 (PBE)

Data for NpPaPd2 after structural relaxation.

a b c (Å): 3.0297 3.0297 31.1101
angles (deg): 90.00 90.00 120.00
With the nearest neighbours (Å) after each atom.
Atoms (fractional coordinates):
1 Np 0.0000 0.0000 0.0000  6 Np 3.03, 6 Pd 3.12
2 Np 0.3333 0.6667 0.6667  6 Np 3.03, 6 Pd 3.12
3 Np 0.6667 0.3333 0.3333  6 Np 3.03, 6 Pd 3.12
4 Pa 0.0000 0.0000 0.5000  2 Pd 2.60
5 Pa 0.3333 0.6667 0.1667  2 Pd 2.60
6 Pa 0.6667 0.3333 0.8333  2 Pd 2.60
7 Pd 0.0000 0.0000 0.4166  1 Pa 2.60
8 Pd 0.0000 0.0000 0.5834  1 Pa 2.60
9 Pd 0.3333 0.6667 0.0832  1 Pa 2.60
10 Pd 0.3333 0.6667 0.2501  1 Pa 2.60
11 Pd 0.6667 0.3333 0.7499  1 Pa 2.60
12 Pd 0.6667 0.3333 0.9168  1 Pa 2.60

Output
The formation energy is 0.040 eV per atom. The space group is R-3m (166). The spin magnetization is 0.9435 μB/atom. For the volume, the calculation gives 247 Å³ per cell.

=====

[2]
## NpPa2Pd (PBE)

Data for NpPa2Pd after structural relaxation.

a b c (Å): 3.5331 3.5331 6.8395
angles (deg): 90.00 90.00 90.00
With the nearest neighbours (Å) after each atom.
Atoms (fractional coordinates):
1 Np 0.0000 0.0000 0.0000  8 Pa 2.98
2 Pa 0.5000 0.5000 0.2382  4 Np 2.98, 4 Pd 3.07, 1 Pa 3.26
3 Pa 0.5000 0.5000 0.7618  4 Np 2.98, 4 Pd 3.07, 1 Pa 3.26
4 Pd 0.0000 0.0000 0.5000  8 Pa 3.07, 2 Np 3.42

Output
The formation energy is -0.044 eV per atom. The value obtained for the energy above the lowest structure with this stoichiometry is 55 kJ/mol of formula units. The space group is P4/mmm (123). The spin magnetization is 0.5453 μB/atom. For the volume, the calculation gives 85 Å³ per cell.

=====

[3]
## NpPaPd14 (PBE)

Data for NpPaPd14 after structural relaxation.

a b c (Å): 5.8265 5.8265 7.8122
angles (deg): 90.00 90.00 90.00
With the nearest neighbours (Å) after each atom.
Atoms (fractional coordinates):
1 Np 0.0000 0.0000 0.0000  12 Pd 2.86-2.91
2 Pa 0.5000 0.5000 0.0000  12 Pd 2.84-2.91
3 Pd 0.0000 0.0000 0.5000  12 Pd 2.83-2.91
4 Pd 0.0000 0.5000 0.0000  8 Pd 2.85, 2 Pa 2.91, 2 Np 2.91
5 Pd 0.0000 0.5000 0.5000  12 Pd 2.83-2.91
6 Pd 0.2514 0.2514 0.2522  10 Pd 2.82-2.93, 1 Pa 2.84, 1 Np 2.86
7 Pd 0.2514 0.2514 0.7478  10 Pd 2.82-2.93, 1 Pa 2.84, 1 Np 2.86
8 Pd 0.2514 0.7486 0.2522  10 Pd 2.82-2.93, 1 Pa 2.84, 1 Np 2.86
9 Pd 0.2514 0.7486 0.7478  10 Pd 2.82-2.93, 1 Pa 2.84, 1 Np 2.86
10 Pd 0.5000 0.0000 0.0000  8 Pd 2.85, 2 Pa 2.91, 2 Np 2.91
11 Pd 0.5000 0.0000 0.5000  12 Pd 2.83-2.91
12 Pd 0.5000 0.5000 0.5000  12 Pd 2.82-2.91
13 Pd 0.7486 0.2514 0.2522  10 Pd 2.82-2.93, 1 Pa 2.84, 1 Np 2.86
14 Pd 0.7486 0.2514 0.7478  10 Pd 2.82-2.93, 1 Pa 2.84, 1 Np 2.86
15 Pd 0.7486 0.7486 0.2522  10 Pd 2.82-2.93, 1 Pa 2.84, 1 Np 2.86
16 Pd 0.7486 0.7486 0.7478  10 Pd 2.82-2.93, 1 Pa 2.84, 1 Np 2.86

Output
The formation energy is -0.366 eV per atom. The space group is P4/mmm (123). The spin magnetization is 0.1678 μB/atom. For the volume, the calculation gives 265 Å³ per cell.

=====

[4]
## NpPa2Pd (PBE)

Data for NpPa2Pd after structural relaxation.

a b c (Å): 5.2062 5.2062 3.1474
angles (deg): 90.00 90.00 90.00
With the nearest neighbours (Å) after each atom.
Atoms (fractional coordinates):
1 Np 0.0000 0.0000 0.0000  8 Pa 3.04, 2 Np 3.15
2 Pa 0.0000 0.5000 0.5000  4 Np 3.04, 4 Pd 3.04, 2 Pa 3.15
3 Pa 0.5000 0.0000 0.5000  4 Np 3.04, 4 Pd 3.04, 2 Pa 3.15
4 Pd 0.5000 0.5000 0.0000  8 Pa 3.04, 2 Pd 3.15

Output
The formation energy is -0.186 eV per atom. The value obtained for the energy above the lowest structure with this stoichiometry is 0 kJ/mol of formula units. The space group is P4/mmm (123). The spin magnetization is 0.6808 μB/atom. For the volume, the calculation gives 85 Å³ per cell.

=====

[5]
## NpPaPdRh (PBE)

Data for NpPaPdRh after structural relaxation.

a b c (Å): 6.6419 6.6419 6.6419
angles (deg): 90.00 90.00 90.00
With the nearest neighbours (Å) after each atom.
Atoms (fractional coordinates):
1 Np 0.0000 0.0000 0.0000  4 Pd 2.88, 4 Pa 2.88
2 Np 0.0000 0.5000 0.5000  4 Pd 2.88, 4 Pa 2.88
3 Np 0.5000 0.0000 0.5000  4 Pd 2.88, 4 Pa 2.88
4 Np 0.5000 0.5000 0.0000  4 Pd 2.88, 4 Pa 2.88
5 Pa 0.2500 0.2500 0.7500  4 Np 2.88, 4 Rh 2.88
6 Pa 0.2500 0.7500 0.2500  4 Np 2.88, 4 Rh 2.88
7 Pa 0.7500 0.2500 0.2500  4 Np 2.88, 4 Rh 2.88
8 Pa 0.7500 0.7500 0.7500  4 Np 2.88, 4 Rh 2.88
9 Pd 0.2500 0.2500 0.2500  4 Np 2.88, 4 Rh 2.88
10 Pd 0.2500 0.7500 0.7500  4 Rh 2.88, 4 Np 2.88
11 Pd 0.7500 0.2500 0.7500  4 Rh 2.88, 4 Np 2.88
12 Pd 0.7500 0.7500 0.2500  4 Np 2.88, 4 Rh 2.88
13 Rh 0.0000 0.0000 0.5000  4 Pa 2.88, 4 Pd 2.88
14 Rh 0.0000 0.5000 0.0000  4 Pa 2.88, 4 Pd 2.88
15 Rh 0.5000 0.0000 0.0000  4 Pa 2.88, 4 Pd 2.88
16 Rh 0.5000 0.5000 0.5000  4 Pa 2.88, 4 Pd 2.88

Output
The formation energy is -0.540 eV per atom. The space group is F-43m (216). The spin magnetization is 0.8686 μB/atom. For the volume, the calculation gives 293 Å³ per cell.

=====

[6]
## NpPaPdRu (PBE)

Data for NpPaPdRu after structural relaxation.

a b c (Å): 6.6211 6.6211 6.6211
angles (deg): 90.00 90.00 90.00
With the nearest neighbours (Å) after each atom.
Atoms (fractional coordinates):
1 Np 0.0000 0.0000 0.0000  4 Pa 2.87, 4 Pd 2.87
2 Np 0.0000 0.5000 0.5000  4 Pa 2.87, 4 Pd 2.87
3 Np 0.5000 0.0000 0.5000  4 Pa 2.87, 4 Pd 2.87
4 Np 0.5000 0.5000 0.0000  4 Pa 2.87, 4 Pd 2.87
5 Pa 0.2500 0.2500 0.7500  4 Ru 2.87, 4 Np 2.87
6 Pa 0.2500 0.7500 0.2500  4 Ru 2.87, 4 Np 2.87
7 Pa 0.7500 0.2500 0.2500  4 Ru 2.87, 4 Np 2.87
8 Pa 0.7500 0.7500 0.7500  4 Ru 2.87, 4 Np 2.87
9 Pd 0.2500 0.2500 0.2500  4 Ru 2.87, 4 Np 2.87
10 Pd 0.2500 0.7500 0.7500  4 Ru 2.87, 4 Np 2.87
11 Pd 0.7500 0.2500 0.7500  4 Ru 2.87, 4 Np 2.87
12 Pd 0.7500 0.7500 0.2500  4 Ru 2.87, 4 Np 2.87
13 Ru 0.0000 0.0000 0.5000  4 Pa 2.87, 4 Pd 2.87
14 Ru 0.0000 0.5000 0.0000  4 Pa 2.87, 4 Pd 2.87
15 Ru 0.5000 0.0000 0.0000  4 Pa 2.87, 4 Pd 2.87
16 Ru 0.5000 0.5000 0.5000  4 Pa 2.87, 4 Pd 2.87

Output
The formation energy is -0.335 eV per atom. The space group is F-43m (216). The spin magnetization is 0.7046 μB/atom. For the volume, the calculation gives 290 Å³ per cell.